Below is a relaxed structure of Pm7NiHg2, with properties calculated at the PBE-GGA level.

abc: 10.913 10.913 10.913
angles: 90.00 90.00 90.00
Space group Fm-3m (No. 225)
Asymmetric unit:
Pm1 0.000 0.000 0.000 x4
Pm2 0.000 0.000 0.261 x24
Ni1 0.000 0.000 0.500 x4
Hg1 0.250 0.250 0.250 x8

The calculation puts the total energy at -3.7375 eV per atom.


Below is a relaxed structure of Pm8NiHg2, with properties calculated at the PBE-GGA level.

abc: 18.178 5.249 6.960
angles: 90.00 101.10 90.00
Space group C2/m (No. 12)
Asymmetric unit:
Pm1 0.020 0.000 0.275 x4
Pm2 0.089 0.500 0.946 x4
Pm3 0.149 0.500 0.468 x4
Pm4 0.203 0.000 0.812 x4
Ni1 0.000 0.500 0.500 x2
Hg1 0.191 0.000 0.245 x4

The energy relative to the lowest polymorph listed for this composition comes out at 0.000 eV per atom.


Below is a relaxed structure of Pm2NiHg, with properties calculated at the PBE-GGA level.

abc: 3.560 3.560 7.661
angles: 90.00 90.00 90.00
Space group P4/mmm (No. 123)
Asymmetric unit:
Pm1 0.000 0.000 0.218 x2
Ni1 0.500 0.500 0.000 x1
Hg1 0.500 0.500 0.500 x1

The energy relative to the lowest polymorph listed for this composition comes out at 0.000 eV per atom.


Below is a relaxed structure of Pm4Ni2Hg, with properties calculated at the PBE-GGA level.

abc: 6.932 7.013 8.688
angles: 107.90 107.43 104.04
Space group P1 (No. 1)
Asymmetric unit:
Pm1 0.000 0.000 0.000 x1
Pm2 0.021 0.523 0.047 x1
Pm3 0.053 0.751 0.597 x1
Pm4 0.324 0.157 0.459 x1
Pm5 0.450 0.613 0.873 x1
Pm6 0.478 0.676 0.447 x1
Pm7 0.601 0.261 0.173 x1
Pm8 0.888 0.222 0.588 x1
Ni1 0.063 0.363 0.341 x1
Ni2 0.234 0.215 0.856 x1
Ni3 0.399 0.882 0.191 x1
Ni4 0.747 0.548 0.706 x1
Hg1 0.565 0.083 0.789 x1
Hg2 0.799 0.821 0.257 x1

The calculation puts the total energy at -4.6824 eV per atom.


Below is a relaxed structure of Pm3NiHg, with properties calculated at the PBE-GGA level.

abc: 5.327 5.327 5.327
angles: 90.00 90.00 90.00
Space group Pm-3m (No. 221)
Asymmetric unit:
Pm1 0.000 0.000 0.500 x3
Ni1 0.000 0.000 0.000 x1
Hg1 0.500 0.500 0.500 x1

The energy relative to the lowest polymorph listed for this composition comes out at 0.208 eV per atom.


Below is a relaxed structure of Pm5Ni2Hg2, with properties calculated at the PBE-GGA level.

abc: 15.744 7.078 8.560
angles: 90.00 90.00 90.00
Space group Cmce (No. 64)
Asymmetric unit:
Pm1 0.000 0.000 0.000 x4
Pm2 0.122 0.155 0.320 x16
Ni1 0.000 0.123 0.607 x8
Hg1 0.212 0.000 0.000 x8

The calculation puts the total energy at -4.3237 eV per atom.


Below is a relaxed structure of Pm3NiHg, with properties calculated at the PBE-GGA level.

abc: 5.711 6.636 8.430
angles: 99.28 103.18 114.40
Space group P-1 (No. 2)
Asymmetric unit:
Pm1 0.045 0.182 0.320 x2
Pm2 0.294 0.826 0.114 x2
Pm3 0.337 0.472 0.770 x2
Ni1 0.206 0.174 0.990 x2
Hg1 0.350 0.742 0.479 x2

The energy relative to the lowest polymorph listed for this composition comes out at 0.000 eV per atom.


Below is a relaxed structure of PmNi4Hg, with properties calculated at the PBE-GGA level.

abc: 7.125 7.125 7.125
angles: 90.00 90.00 90.00
Space group F-43m (No. 216)
Asymmetric unit:
Pm1 0.000 0.000 0.000 x4
Ni1 0.124 0.124 0.376 x16
Hg1 0.250 0.250 0.750 x4

The calculation puts the total energy at -4.9734 eV per atom.


no.,mass density (g cm⁻³),N(E_F) (states/eV per atom)
1,7.5,1.1801
2,8.3,0.9785
3,9.4,0.7001
4,8.4,0.9568
5,7.6,1.7309
6,8.7,0.9115
7,8.5,1.0641
8,10.7,1.3037